BaMoAs: optimized geometry, PBE.

As for the final energy: -17.33 eV per formula unit. For the total magnetization, the calculation gives 0.00 Bohr magnetons per cell. The distance to the lowest polymorph of the same formula comes out at 490 meV per atom. The formation energy comes out at 0.024 eV per atom.

It has space group P-6m2 (No. 187), with a = 4.3188 Å, b = 4.3188 Å, c = 5.1786 Å, α = 90.00°, β = 90.00° and γ = 120.00°. The distinct sites, in fractional coordinates, are Ba at (0.0000, 0.0000, 0.0000), Mo at (0.6667, 0.3333, 0.5000) and As at (0.3333, 0.6667, 0.5000).

Ti4Nb2O: optimized geometry, PBE.

As for the final energy: -60.13 eV per formula unit. For the total magnetization, the calculation gives 0.00 Bohr magnetons per cell. The formation energy without anion corrections comes out at -493 meV per atom.

It has space group I4/mmm (No. 139), with a = 3.9931 Å, b = 3.9931 Å, c = 14.4693 Å, α = 90.00°, β = 90.00° and γ = 90.00°. The distinct sites, in fractional coordinates, are Ti at (0.0000, 0.0000, 0.1471), Ti at (0.0000, 0.5000, 0.0000), Nb at (0.0000, 0.0000, 0.3415) and O at (0.0000, 0.0000, 0.0000).

Y2Ga5PdRu2: optimized geometry, PBE.

As for the final energy: -56.30 eV per formula unit. For the total magnetization, the calculation gives 0.00 Bohr magnetons per cell. The formation energy comes out at -0.450 eV per atom.

It has space group P4/mbm (No. 127), with a = 9.6600 Å, b = 9.6600 Å, c = 3.8754 Å, α = 90.00°, β = 90.00° and γ = 90.00°. The distinct sites, in fractional coordinates, are Y at (0.1817, 0.3183, 0.0000), Ga at (0.0000, 0.5000, 0.5000), Ga at (0.0570, 0.8005, 0.5000), Pd at (0.0000, 0.0000, 0.0000) and Ru at (0.1171, 0.6171, 0.0000).

Ca3Sm2ErSe6: optimized geometry, PBE.

As for the final energy: -63.50 eV per formula unit. For the total magnetization, the calculation gives 0.00 Bohr magnetons per cell. The formation energy without anion corrections comes out at -1882 meV per atom.

It has space group C2/m (No. 12), with a = 7.1692 Å, b = 12.4008 Å, c = 7.2792 Å, α = 90.00°, β = 109.20° and γ = 90.00°. The distinct sites, in fractional coordinates, are Ca at (0.0000, 0.0000, 0.0000), Ca at (0.0000, 0.3312, 0.0000), Sm at (0.0000, 0.1659, 0.5000), Er at (0.0000, 0.5000, 0.5000), Se at (0.2421, 0.5000, 0.2502) and Se at (0.2457, 0.3370, 0.7488).

Ti2AlBr: optimized geometry, PBE.

As for the final energy: -20.49 eV per formula unit. For the total magnetization, the calculation gives 6.58 Bohr magnetons per cell. The formation energy without anion corrections comes out at 179 meV per atom. The distance to the lowest polymorph of the same formula comes out at 0 meV per atom.

It has space group Fm-3m (No. 225), with a = 6.6028 Å, b = 6.6028 Å, c = 6.6028 Å, α = 90.00°, β = 90.00° and γ = 90.00°. The distinct sites, in fractional coordinates, are Ti at (0.2500, 0.2500, 0.2500), Al at (0.0000, 0.0000, 0.0000) and Br at (0.0000, 0.0000, 0.5000).

HgGeBr2: optimized geometry, PBE.

As for the final energy: -9.84 eV per formula unit. For the total magnetization, the calculation gives 0.00 Bohr magnetons per cell. The formation energy without anion corrections comes out at -394 meV per atom. The distance to the lowest polymorph of the same formula comes out at 0 meV per atom.

It has space group P1 (No. 1), with a = 4.0324 Å, b = 4.0345 Å, c = 10.5693 Å, α = 100.75°, β = 90.00° and γ = 119.96°. The distinct sites, in fractional coordinates, are Hg at (0.0000, 0.0000, 0.0000), Ge at (0.4999, 0.9992, 0.4994), Br at (0.2195, 0.4354, 0.6569) and Br at (0.7840, 0.5639, 0.3421).

Na3FeGe: optimized geometry, PBE.

As for the final energy: -12.58 eV per formula unit. For the total magnetization, the calculation gives 4.98 Bohr magnetons per cell. The distance to the lowest polymorph of the same formula comes out at 0 meV per atom. The formation energy comes out at 0.892 eV per atom.

It has space group Pm-3m (No. 221), with a = 5.5618 Å, b = 5.5618 Å, c = 5.5618 Å, α = 90.00°, β = 90.00° and γ = 90.00°. The distinct sites, in fractional coordinates, are Na at (0.0000, 0.0000, 0.5000), Fe at (0.5000, 0.5000, 0.5000) and Ge at (0.0000, 0.0000, 0.0000).

CuHgC2O6: optimized geometry, PBE.

As for the final energy: -61.93 eV per formula unit. For the total magnetization, the calculation gives 3.02 Bohr magnetons per cell. The formation energy without anion corrections comes out at -933 meV per atom.

It has space group R-3 (No. 148, hexagonal axes), with a = 4.8891 Å, b = 4.8891 Å, c = 16.1970 Å, α = 90.00°, β = 90.00° and γ = 120.00°. The distinct sites, in fractional coordinates, are Cu at (0.0000, 0.0000, 0.0000), Hg at (0.0000, 0.0000, 0.5000), C at (0.0000, 0.0000, 0.2575) and O at (0.0293, 0.7503, 0.7432).

BaTb2DyO6: optimized geometry, PBE.

As for the final energy: -73.87 eV per formula unit. For the total magnetization, the calculation gives 2.16 Bohr magnetons per cell. The formation energy without anion corrections comes out at -2833 meV per atom. The distance to the lowest polymorph of the same formula comes out at 217 meV per atom.

It has space group Cmmm (No. 65), with a = 8.5587 Å, b = 8.6353 Å, c = 4.3609 Å, α = 90.00°, β = 90.00° and γ = 90.00°. The distinct sites, in fractional coordinates, are Ba at (0.0000, 0.0000, 0.0000), Tb at (0.2500, 0.2500, 0.5000), Dy at (0.0000, 0.5000, 0.0000), O at (0.0000, 0.1787, 0.5000), O at (0.1494, 0.5000, 0.5000) and O at (0.2500, 0.2500, 0.0000).

NdLuCdBi: optimized geometry, PBE.

As for the final energy: -15.65 eV per formula unit. For the total magnetization, the calculation gives 0.00 Bohr magnetons per cell. The formation energy comes out at -0.391 eV per atom.

It has space group F-43m (No. 216), with a = 7.6873 Å, b = 7.6873 Å, c = 7.6873 Å, α = 90.00°, β = 90.00° and γ = 90.00°. The distinct sites, in fractional coordinates, are Nd at (0.0000, 0.0000, 0.0000), Lu at (0.0000, 0.0000, 0.5000), Cd at (0.2500, 0.2500, 0.7500) and Bi at (0.2500, 0.2500, 0.2500).

VFeSCl2: optimized geometry, PBE.

As for the final energy: -25.41 eV per formula unit. For the total magnetization, the calculation gives 6.02 Bohr magnetons per cell. The formation energy without anion corrections comes out at -1 meV per atom. The distance to the lowest polymorph of the same formula comes out at 0 meV per atom.

It has space group P4/mmm (No. 123), with a = 4.8059 Å, b = 4.8059 Å, c = 4.6456 Å, α = 90.00°, β = 90.00° and γ = 90.00°. The distinct sites, in fractional coordinates, are V at (0.0000, 0.0000, 0.0000), Fe at (0.5000, 0.5000, 0.5000), S at (0.0000, 0.0000, 0.5000) and Cl at (0.0000, 0.5000, 0.0000).

Li2CaGd: optimized geometry, PBE.

As for the final energy: -19.54 eV per formula unit. For the total magnetization, the calculation gives 7.77 Bohr magnetons per cell. The distance to the lowest polymorph of the same formula comes out at 0 meV per atom. The formation energy comes out at 0.094 eV per atom.

It has space group P4/mmm (No. 123), with a = 3.8169 Å, b = 3.8169 Å, c = 7.7974 Å, α = 90.00°, β = 90.00° and γ = 90.00°. The distinct sites, in fractional coordinates, are Li at (0.0000, 0.0000, 0.2374), Ca at (0.5000, 0.5000, 0.5000) and Gd at (0.5000, 0.5000, 0.0000).